No. 1
Material: ZrMoIr2
Method: DFT, GGA-PBEsol
State: optimized geometry

Unit cell a=2.918 b=3.778 c=5.847 alpha=90.00 beta=90.00 gamma=90.00
Space group Pmm2 (No. 25)
Unique sites:
Zr 0.000 0.000 0.000
Mo 0.500 0.500 0.692
Ir 0.000 0.000 0.503
Ir 0.500 0.500 0.227

**Formation energy from the elements**: -0.26 eV per atom
**Fermi-level density of states**: 3.72 states/eV per cell
**Uncorrected energy**: -10.382 eV/atom

=====

No. 2
Material: IrN
Method: DFT, GGA-PBEsol
State: optimized geometry

Unit cell a=2.8101 b=2.8101 c=6.5442 alpha=90.00 beta=90.00 gamma=120.00
Space group P6_3mc (No. 186)
Unique sites:
Ir 0.3333 0.6667 0.0000
N 0.3333 0.6667 0.6857

**ΔE_f (raw)**: 0.65 eV/atom
**Fermi-level density of states**: 2.50 states/eV per cell
**Energy above the most stable polymorph in this dataset**: 0 meV per atom
**Uncorrected energy**: -8.529 eV/atom

=====

No. 3
Material: IrN
Method: DFT, GGA-PBEsol
State: optimized geometry

Unit cell a=4.353 b=4.353 c=4.353 alpha=90.00 beta=90.00 gamma=90.00
Space group Fm-3m (No. 225)
Unique sites:
Ir 0.000 0.000 0.000
N 0.000 0.000 0.500

**ΔE_f (raw)**: 1.36 eV/atom
**Fermi-level density of states**: 13.09 states/eV per cell
**Energy above the most stable polymorph in this dataset**: 716 meV per atom
**Uncorrected energy**: -7.812 eV/atom

=====

- Which of these has the highest Fermi-level density of states?
  number 3

=====

- What is the formula in the second record?
  IrN